Below is a relaxed structure of Ca4Hg2N, with properties calculated at the GGA-PBE level.

Results
ΔE_f (raw) in eV/atom: -0.559
SG: I4/mmm (139)
Electronic total energy in eV per atom: -2.978
Energy relative to the lowest polymorph listed for this composition in meV/atom: 0

Lattice parameters (Å, degrees): 4.831 4.831 16.035 90.00 90.00 90.00
Fractional coordinates of all 14 atoms:
Ca1 0.000 0.000 0.158
Ca2 0.000 0.000 0.842
Ca3 0.000 0.500 0.000
Ca4 0.000 0.500 0.500
Ca5 0.500 0.000 0.000
Ca6 0.500 0.000 0.500
Ca7 0.500 0.500 0.342
Ca8 0.500 0.500 0.658
Hg1 0.000 0.000 0.356
Hg2 0.000 0.000 0.644
Hg3 0.500 0.500 0.144
Hg4 0.500 0.500 0.856
N1 0.000 0.000 0.000
N2 0.500 0.500 0.500

---

Below is a relaxed structure of CaHgN3, with properties calculated at the GGA-PBE level.

Results
ΔE_f (raw) in eV/atom: 2.019
SG: Pm-3m (221)
Electronic total energy in eV per atom: -3.437

Lattice parameters (Å, degrees): 4.532 4.532 4.532 90.00 90.00 90.00
Fractional coordinates of all 5 atoms:
Ca1 0.000 0.000 0.000
Hg1 0.500 0.500 0.500
N1 0.000 0.000 0.500
N2 0.000 0.500 0.000
N3 0.500 0.000 0.000

---

Below is a relaxed structure of Ca2HgN2, with properties calculated at the GGA-PBE level.

Results
ΔE_f (raw) in eV/atom: -0.514
SG: I4/mmm (139)
Electronic total energy in eV per atom: -4.705

Lattice parameters (Å, degrees): 3.613 3.613 13.485 90.00 90.00 90.00
Fractional coordinates of all 10 atoms:
Ca1 0.000 0.000 0.169
Ca2 0.000 0.000 0.831
Ca3 0.500 0.500 0.331
Ca4 0.500 0.500 0.669
Hg1 0.000 0.000 0.500
Hg2 0.500 0.500 0.000
N1 0.000 0.000 0.345
N2 0.000 0.000 0.655
N3 0.500 0.500 0.155
N4 0.500 0.500 0.845

---

Below is a relaxed structure of NaCa2HgN, with properties calculated at the GGA-PBE level.

Results
ΔE_f (raw) in eV/atom: -0.433
SG: P4/mmm (123)
Electronic total energy in eV per atom: -3.223

Lattice parameters (Å, degrees): 4.854 4.854 4.943 90.00 90.00 90.00
Fractional coordinates of all 5 atoms:
Na1 0.000 0.000 0.000
Ca1 0.000 0.500 0.500
Ca2 0.500 0.000 0.500
Hg1 0.500 0.500 0.000
N1 0.000 0.000 0.500

---

Below is a relaxed structure of Ca3Nd4Hg3N2, with properties calculated at the GGA-PBE level.

Results
ΔE_f (raw) in eV/atom: -0.655
SG: Immm (71)
Electronic total energy in eV per atom: -4.208

Lattice parameters (Å, degrees): 12.823 12.823 12.823 157.67 157.20 32.13
Fractional coordinates of all 12 atoms:
Ca1 0.000 0.000 0.000
Ca2 0.094 0.594 0.500
Ca3 0.906 0.406 0.500
Nd1 0.198 0.198 0.000
Nd2 0.407 0.907 0.500
Nd3 0.593 0.093 0.500
Nd4 0.802 0.802 0.000
Hg1 0.324 0.324 0.000
Hg2 0.500 0.500 0.000
Hg3 0.676 0.676 0.000
N1 0.103 0.103 0.000
N2 0.897 0.897 0.000

---

Below is a relaxed structure of CaNd2HgN, with properties calculated at the GGA-PBE level.

Results
ΔE_f (raw) in eV/atom: -0.727
SG: P4/mmm (123)
Electronic total energy in eV per atom: -4.760

Lattice parameters (Å, degrees): 5.036 5.036 4.859 90.00 90.00 90.00
Fractional coordinates of all 5 atoms:
Ca1 0.000 0.000 0.000
Nd1 0.000 0.500 0.500
Nd2 0.500 0.000 0.500
Hg1 0.500 0.500 0.000
N1 0.000 0.000 0.500